K2NaFeO4 | PBE+U | relaxed

Lattice parameters (Å, degrees): 5.704 5.704 5.704 115.34 115.34 98.28
Atoms (fractional coordinates):
K (0.000, 0.000, 0.000)
K (0.750, 0.250, 0.500)
Na (0.500, 0.500, 0.000)
Fe (0.250, 0.750, 0.500)
O (0.217, 0.670, 0.150)
O (0.330, 0.481, 0.548)
O (0.519, 0.067, 0.850)
O (0.933, 0.783, 0.452)

Calculated values
**Symmetry**: I-4 (82)
**DOS(E_F)**: 5.539 states/eV/f.u.
**DFT total energy**: -38.8 eV per formula unit
**ρ**: 2643 kg/m3